No. 1
# CeTm2Cu

A geometry-optimized CeTm2Cu structure (GGA-PBE, the Alexandria database). Values from VASP.

Properties
Space-group type: P4/mmm
Size of the total moment: 0.30 μB/atom
DFT formation energy: -81 meV per atom
D(E_F): 6.37 states/eV per cell
ΔE to the lowest computed polymorph: 0.000 eV per atom

Cell and atoms, written as Quantum ESPRESSO input:
```
&SYSTEM
  ibrav = 0, nat = 4, ntyp = 3
/
ATOMIC_SPECIES
Ce 140.12 Ce.upf
Tm 168.93 Tm.upf
Cu 63.55 Cu.upf
CELL_PARAMETERS angstrom
3.444 0.000 0.000
0.000 3.444 0.000
0.000 0.000 8.449
ATOMIC_POSITIONS crystal
Ce 0.000 0.000 0.000
Tm 0.500 0.500 0.303
Tm 0.500 0.500 0.697
Cu 0.000 0.000 0.500
```


No. 2
# MnP2SCl

A geometry-optimized MnP2SCl structure (GGA-PBE, the Alexandria database). Values from VASP.

Properties
Space-group type: P4/mmm
Formation energy from raw total energies: 1.29 eV/atom
Size of the total moment: 0.75 μB/atom
D(E_F): 4.30 states/eV per cell
ΔE to the lowest computed polymorph: 0.895 eV per atom

Cell and atoms, written as Quantum ESPRESSO input:
```
&SYSTEM
  ibrav = 0, nat = 5, ntyp = 4
/
ATOMIC_SPECIES
Mn 54.94 Mn.upf
P 30.97 P.upf
S 32.06 S.upf
Cl 35.45 Cl.upf
CELL_PARAMETERS angstrom
4.549 0.000 0.000
0.000 4.549 0.000
0.000 0.000 4.820
ATOMIC_POSITIONS crystal
Mn 0.000 0.000 0.000
P 0.000 0.500 0.500
P 0.500 0.000 0.500
S 0.500 0.500 0.000
Cl 0.500 0.500 0.500
```


No. 3
# LiAsN2F

A geometry-optimized LiAsN2F structure (GGA-PBE, the Alexandria database). Values from VASP.

Properties
Space-group type: P4/mmm
Formation energy from raw total energies: 0.11 eV/atom
Size of the total moment: 0.13 μB/atom
D(E_F): 1.19 states/eV per cell
ΔE to the lowest computed polymorph: 0.000 eV per atom

Cell and atoms, written as Quantum ESPRESSO input:
```
&SYSTEM
  ibrav = 0, nat = 5, ntyp = 4
/
ATOMIC_SPECIES
Li 6.94 Li.upf
As 74.92 As.upf
N 14.01 N.upf
F 19.00 F.upf
CELL_PARAMETERS angstrom
3.658 0.000 0.000
0.000 3.658 0.000
0.000 0.000 4.347
ATOMIC_POSITIONS crystal
Li 0.000 0.000 0.000
As 0.500 0.500 0.500
N 0.000 0.500 0.500
N 0.500 0.000 0.500
F 0.500 0.500 0.000
```


> The highest ΔE to the lowest computed polymorph belongs to which entry?

MnP2SCl


> Number 1 is which compound?

CeTm2Cu


Repeat the third record exactly.
# LiAsN2F

A geometry-optimized LiAsN2F structure (GGA-PBE, the Alexandria database). Values from VASP.

Properties
Space-group type: P4/mmm
Formation energy from raw total energies: 0.11 eV/atom
Size of the total moment: 0.13 μB/atom
D(E_F): 1.19 states/eV per cell
ΔE to the lowest computed polymorph: 0.000 eV per atom

Cell and atoms, written as Quantum ESPRESSO input:
```
&SYSTEM
  ibrav = 0, nat = 5, ntyp = 4
/
ATOMIC_SPECIES
Li 6.94 Li.upf
As 74.92 As.upf
N 14.01 N.upf
F 19.00 F.upf
CELL_PARAMETERS angstrom
3.658 0.000 0.000
0.000 3.658 0.000
0.000 0.000 4.347
ATOMIC_POSITIONS crystal
Li 0.000 0.000 0.000
As 0.500 0.500 0.500
N 0.000 0.500 0.500
N 0.500 0.000 0.500
F 0.500 0.500 0.000
```


> Which of these has the lowest size of the total moment?

LiAsN2F